Mg7Ga2: relaxed, PBE.

Cell lengths 5.445, 5.445, 7.509 Å; angles 90.00, 90.00, 120.00 degrees
Fractional positions:
Mg 0.000 0.000 0.000
Mg 0.000 0.339 0.675
Mg 0.000 0.661 0.325
Mg 0.339 0.000 0.675
Mg 0.339 0.339 0.325
Mg 0.661 0.000 0.325
Mg 0.661 0.661 0.675
Ga 0.333 0.667 0.000
Ga 0.667 0.333 0.000

Values from the calculation:
N(E_F) ... 0.2923 states/eV/atom
Formation energy from the elements ... -0.05 eV per atom
Magnetization ... 0.00 μB per cell

---

Tm6Cu5Rh: relaxed, PBE.

Cell lengths 7.649, 7.649, 6.824 Å; angles 90.00, 90.00, 143.28 degrees
Fractional positions:
Tm 0.000 0.000 0.246
Tm 0.000 0.000 0.754
Tm 0.335 0.665 0.249
Tm 0.335 0.665 0.751
Tm 0.665 0.335 0.249
Tm 0.665 0.335 0.751
Cu 0.165 0.835 0.500
Cu 0.169 0.831 0.000
Cu 0.500 0.500 0.500
Cu 0.831 0.169 0.000
Cu 0.835 0.165 0.500
Rh 0.500 0.500 0.000

Values from the calculation:
N(E_F) ... 0.6076 states/eV/atom
Formation energy from the elements ... -0.41 eV per atom
Magnetization ... 0.00 μB per cell

---

Cd5In8Sn: relaxed, PBE.

Cell lengths 7.907, 7.907, 7.907 Å; angles 105.76, 105.76, 117.19 degrees
Fractional positions:
Cd 0.000 0.000 0.000
Cd 0.253 0.014 0.543
Cd 0.290 0.747 0.761
Cd 0.472 0.710 0.457
Cd 0.986 0.528 0.239
In 0.141 0.295 0.431
In 0.176 0.377 0.878
In 0.290 0.859 0.154
In 0.499 0.297 0.122
In 0.623 0.501 0.799
In 0.703 0.824 0.201
In 0.705 0.136 0.846
In 0.864 0.710 0.569
Sn 0.750 0.250 0.500

Values from the calculation:
N(E_F) ... 0.3129 states/eV/atom
Formation energy from the elements ... 0.06 eV per atom
Magnetization ... 0.00 μB per cell

---

Hg12Au5Se3: relaxed, PBE.

Cell lengths 14.479, 14.479, 14.479 Å; angles 109.47, 109.47, 109.47 degrees
Fractional positions:
Hg 0.052 0.225 0.114
Hg 0.052 0.327 0.938
Hg 0.062 0.614 0.389
Hg 0.062 0.948 0.673
Hg 0.111 0.725 0.673
Hg 0.111 0.886 0.438
Hg 0.114 0.052 0.225
Hg 0.114 0.562 0.889
Hg 0.173 0.225 0.611
Hg 0.173 0.448 0.562
Hg 0.225 0.114 0.052
Hg 0.225 0.611 0.173
Hg 0.275 0.327 0.889
Hg 0.275 0.448 0.386
Hg 0.327 0.889 0.275
Hg 0.327 0.938 0.052
Hg 0.386 0.275 0.448
Hg 0.386 0.611 0.938
Hg 0.389 0.062 0.614
Hg 0.389 0.827 0.775
Hg 0.438 0.111 0.886
Hg 0.438 0.827 0.552
Hg 0.448 0.386 0.275
Hg 0.448 0.562 0.173
Hg 0.552 0.438 0.827
Hg 0.552 0.614 0.725
Hg 0.562 0.173 0.448
Hg 0.562 0.889 0.114
Hg 0.611 0.173 0.225
Hg 0.611 0.938 0.386
Hg 0.614 0.389 0.062
Hg 0.614 0.725 0.552
Hg 0.673 0.062 0.948
Hg 0.673 0.111 0.725
Hg 0.725 0.552 0.614
Hg 0.725 0.673 0.111
Hg 0.775 0.389 0.827
Hg 0.775 0.886 0.948
Hg 0.827 0.552 0.438
Hg 0.827 0.775 0.389
Hg 0.886 0.438 0.111
Hg 0.886 0.948 0.775
Hg 0.889 0.114 0.562
Hg 0.889 0.275 0.327
Hg 0.938 0.052 0.327
Hg 0.938 0.386 0.611
Hg 0.948 0.673 0.062
Hg 0.948 0.775 0.886
Au 0.000 0.000 0.000
Au 0.000 0.000 0.500
Au 0.000 0.500 0.000
Au 0.000 0.500 0.500
Au 0.125 0.750 0.875
Au 0.125 0.875 0.250
Au 0.250 0.125 0.875
Au 0.250 0.625 0.375
Au 0.375 0.250 0.625
Au 0.375 0.625 0.750
Au 0.500 0.000 0.000
Au 0.500 0.000 0.500
Au 0.500 0.500 0.000
Au 0.500 0.500 0.500
Au 0.625 0.375 0.250
Au 0.625 0.750 0.375
Au 0.750 0.375 0.625
Au 0.750 0.875 0.125
Au 0.875 0.125 0.750
Au 0.875 0.250 0.125
Se 0.125 0.250 0.375
Se 0.125 0.375 0.750
Se 0.250 0.375 0.125
Se 0.250 0.875 0.625
Se 0.375 0.125 0.250
Se 0.375 0.750 0.125
Se 0.625 0.250 0.875
Se 0.625 0.875 0.750
Se 0.750 0.125 0.375
Se 0.750 0.625 0.875
Se 0.875 0.625 0.250
Se 0.875 0.750 0.625

Values from the calculation:
N(E_F) ... 0.6456 states/eV/atom
Uncorrected formation energy ... 145 meV per atom
Magnetization ... 0.00 μB per cell

---

La2Pu2Bi2C: relaxed, PBE.

Cell lengths 9.219, 9.219, 9.219 Å; angles 149.39, 149.39, 43.84 degrees
Fractional positions:
La 0.158 0.158 0.000
La 0.842 0.842 0.000
Pu 0.000 0.500 0.500
Pu 0.500 0.000 0.500
Bi 0.360 0.360 0.000
Bi 0.640 0.640 0.000
C 0.000 0.000 0.000

Values from the calculation:
N(E_F) ... 1.3194 states/eV/atom
Formation energy from the elements ... -0.59 eV per atom
Magnetization ... 11.64 μB per cell

---

Al2CdAs: relaxed, PBE.

Cell lengths 5.254, 5.254, 5.254 Å; angles 139.56, 119.19, 75.59 degrees
Fractional positions:
Al 0.227 0.227 0.000
Al 0.773 0.773 0.000
Cd 0.500 0.000 0.500
As 0.000 0.500 0.500

Values from the calculation:
N(E_F) ... 0.4074 states/eV/atom
Formation energy from the elements ... 0.17 eV per atom
Magnetization ... 0.00 μB per cell

---

BeNb2Ni: relaxed, PBE.

Cell lengths 9.699, 9.699, 9.699 Å; angles 16.31, 16.31, 16.31 degrees
Fractional positions:
Be 0.000 0.000 0.000
Nb 0.090 0.090 0.090
Nb 0.910 0.910 0.910
Ni 0.500 0.500 0.500

Values from the calculation:
N(E_F) ... 1.0128 states/eV/atom
Formation energy from the elements ... 0.58 eV per atom
Magnetization ... 0.00 μB per cell

---

La3Ta2: relaxed, PBE.

Cell lengths 5.134, 5.134, 6.372 Å; angles 90.00, 90.00, 120.00 degrees
Fractional positions:
La 0.000 0.000 0.000
La 0.333 0.667 0.377
La 0.667 0.333 0.623
Ta 0.333 0.667 0.921
Ta 0.667 0.333 0.079

Values from the calculation:
N(E_F) ... 1.0026 states/eV/atom
Formation energy from the elements ... 0.52 eV per atom
Magnetization ... 0.00 μB per cell

---

Tb3Nd5Y3: relaxed, PBE.

Cell lengths 9.768, 9.768, 5.595 Å; angles 90.00, 90.00, 120.00 degrees
Fractional positions:
Tb 0.000 0.363 0.000
Tb 0.363 0.000 0.000
Tb 0.637 0.637 0.000
Nd 0.000 0.730 0.000
Nd 0.270 0.270 0.000
Nd 0.333 0.667 0.000
Nd 0.667 0.333 0.000
Nd 0.730 0.000 0.000
Y 0.000 0.541 0.500
Y 0.459 0.459 0.500
Y 0.541 0.000 0.500

Values from the calculation:
N(E_F) ... 1.7405 states/eV/atom
Formation energy from the elements ... 0.78 eV per atom
Magnetization ... 0.00 μB per cell

---

LiCo2Mo: relaxed, PBE.

Cell lengths 4.074, 4.074, 4.074 Å; angles 60.00, 60.00, 60.00 degrees
Fractional positions:
Li 0.000 0.000 0.000
Co 0.250 0.250 0.250
Co 0.750 0.750 0.750
Mo 0.500 0.500 0.500

Values from the calculation:
N(E_F) ... 0.5947 states/eV/atom
Formation energy from the elements ... 0.15 eV per atom
Magnetization ... 1.00 μB per cell

---

NdSnIrRh: relaxed, PBE.

Cell lengths 4.808, 4.808, 4.808 Å; angles 60.00, 60.00, 60.00 degrees
Fractional positions:
Nd 0.000 0.000 0.000
Sn 0.500 0.500 0.500
Ir 0.750 0.750 0.750
Rh 0.250 0.250 0.250

Values from the calculation:
N(E_F) ... 0.9823 states/eV/atom
Formation energy from the elements ... -0.49 eV per atom
Magnetization ... 0.00 μB per cell

---

CrAg2Ir: relaxed, PBE.

Cell lengths 2.718, 2.718, 9.567 Å; angles 90.00, 90.00, 117.40 degrees
Fractional positions:
Cr 0.000 0.000 0.000
Ag 0.000 0.000 0.519
Ag 0.500 0.500 0.252
Ir 0.500 0.500 0.787

Values from the calculation:
N(E_F) ... 0.8832 states/eV/atom
Formation energy from the elements ... 0.34 eV per atom
Magnetization ... 0.00 μB per cell

---

La5DyYEr2: relaxed, PBE.

Cell lengths 11.240, 11.240, 10.623 Å; angles 90.00, 90.00, 151.69 degrees
Fractional positions:
La 0.000 0.000 0.000
La 0.000 0.000 0.500
La 0.123 0.877 0.750
La 0.220 0.780 0.441
La 0.221 0.779 0.061
La 0.500 0.500 0.250
La 0.500 0.500 0.750
La 0.779 0.221 0.561
La 0.780 0.220 0.941
La 0.877 0.123 0.250
Dy 0.289 0.711 0.751
Dy 0.711 0.289 0.251
Y 0.101 0.899 0.250
Y 0.899 0.101 0.750
Er 0.386 0.614 0.501
Er 0.387 0.613 0.000
Er 0.613 0.387 0.500
Er 0.614 0.386 0.001

Values from the calculation:
N(E_F) ... 1.5801 states/eV/atom
Formation energy from the elements ... 0.13 eV per atom
Magnetization ... 0.00 μB per cell

---

AcLa2Sn3: relaxed, PBE.

Cell lengths 7.281, 7.281, 7.281 Å; angles 136.00, 125.65, 72.41 degrees
Fractional positions:
Ac 0.000 0.000 0.000
La 0.338 0.338 0.000
La 0.662 0.662 0.000
Sn 0.189 0.689 0.500
Sn 0.500 0.000 0.500
Sn 0.811 0.311 0.500

Values from the calculation:
N(E_F) ... 0.9134 states/eV/atom
Formation energy from the elements ... -0.59 eV per atom
Magnetization ... 0.00 μB per cell

---

LiTiBeNb2: relaxed, PBE.

Cell lengths 4.664, 4.664, 4.675 Å; angles 90.00, 90.00, 90.00 degrees
Fractional positions:
Li 0.000 0.000 0.000
Ti 0.500 0.500 0.500
Be 0.500 0.500 0.000
Nb 0.000 0.500 0.500
Nb 0.500 0.000 0.500

Values from the calculation:
N(E_F) ... 0.6770 states/eV/atom
Formation energy from the elements ... 1.16 eV per atom
Magnetization ... 0.00 μB per cell

---

ZrCd2Te: relaxed, PBE.

Cell lengths 3.188, 3.188, 10.061 Å; angles 90.00, 90.00, 104.59 degrees
Fractional positions:
Zr 0.000 0.000 0.000
Cd 0.500 0.500 0.229
Cd 0.500 0.500 0.771
Te 0.000 0.000 0.500

Values from the calculation:
N(E_F) ... 0.8735 states/eV/atom
Uncorrected formation energy ... 53 meV per atom
Magnetization ... 0.00 μB per cell

---

BaSc2Al2: relaxed, PBE.

Cell lengths 8.640, 8.640, 3.388 Å; angles 90.00, 90.00, 90.00 degrees
Fractional positions:
Ba 0.000 0.000 0.000
Ba 0.500 0.500 0.000
Sc 0.176 0.324 0.500
Sc 0.324 0.824 0.500
Sc 0.676 0.176 0.500
Sc 0.824 0.676 0.500
Al 0.113 0.613 0.000
Al 0.387 0.113 0.000
Al 0.613 0.887 0.000
Al 0.887 0.387 0.000

Values from the calculation:
N(E_F) ... 1.4242 states/eV/atom
Formation energy from the elements ... -0.06 eV per atom
Magnetization ... 0.00 μB per cell

---

LiMgCSe2: relaxed, PBE.

Cell lengths 4.600, 4.600, 3.903 Å; angles 90.00, 90.00, 90.00 degrees
Fractional positions:
Li 0.000 0.000 0.000
Mg 0.500 0.500 0.000
C 0.000 0.000 0.500
Se 0.000 0.500 0.500
Se 0.500 0.000 0.500

Values from the calculation:
N(E_F) ... 0.5172 states/eV/atom
Uncorrected formation energy ... 376 meV per atom
Magnetization ... 0.39 μB per cell

---

NdI2F: relaxed, PBE.

Cell lengths 4.245, 4.245, 8.838 Å; angles 103.28, 103.28, 60.01 degrees
Fractional positions:
Nd 0.000 0.000 0.000
I 0.584 0.584 0.741
I 0.750 0.750 0.259
F 0.333 0.333 0.000

Values from the calculation:
N(E_F) ... 0.0000 states/eV/atom
Uncorrected formation energy ... -2327 meV per atom
Magnetization ... 0.00 μB per cell

---

La2TbDy2Y: relaxed, PBE.

Cell lengths 7.115, 5.710, 9.897 Å; angles 90.00, 90.00, 90.00 degrees
Fractional positions:
La 0.000 0.000 0.000
La 0.250 0.500 0.176
La 0.500 0.000 0.000
La 0.750 0.500 0.824
Tb 0.250 0.000 0.660
Tb 0.750 0.000 0.340
Dy 0.250 0.000 0.334
Dy 0.250 0.500 0.834
Dy 0.750 0.000 0.666
Dy 0.750 0.500 0.166
Y 0.000 0.500 0.500
Y 0.500 0.500 0.500

Values from the calculation:
N(E_F) ... 1.6518 states/eV/atom
Formation energy from the elements ... 0.06 eV per atom
Magnetization ... 0.00 μB per cell